No. 1
ZnSn2Au, relaxed, DFT PBE-GGA; calculated volume = 88 Å³/cell; ΔE_f = 54 meV per atom
1.0
4.261 0.000 0.000
0.000 4.549 0.000
0.000 0.000 4.549
Zn Sn Au
1 2 1
Cartesian
2.130 0.000 0.000
0.000 0.000 2.274
0.000 2.274 0.000
2.130 2.274 2.274



No. 2
ZnSn2Au, relaxed, DFT PBE-GGA; calculated volume = 96 Å³/cell; ΔE_f = -23 meV per atom
1.0
4.367 0.000 0.000
2.184 3.782 0.000
2.184 1.261 5.842
Au Zn Sn
1 1 2
Cartesian
4.367 2.521 0.054
4.367 2.521 2.929
2.184 1.261 4.458
2.184 1.261 1.322



No. 3
Zn2SnAu, relaxed, DFT PBE-GGA; calculated volume = 166 Å³/cell; ΔE_f = 53 meV per atom
1.0
-3.911 5.313 -3.793
-5.294 0.005 5.466
-3.166 4.708 2.226
Zn Sn Au
4 2 2
Cartesian
-5.703 5.525 2.169
-10.553 8.184 3.262
-4.498 1.720 3.588
-3.989 4.623 -1.219
-6.532 3.686 4.265
-4.603 2.659 0.837
0.000 0.000 0.000
-5.840 6.340 -0.365



No. 4
ZnSnAu5, relaxed, DFT PBE-GGA; calculated volume = 136 Å³/cell; ΔE_f = -41 meV per atom
1.0
-3.709 0.259 -2.331
-0.157 -4.379 -0.237
-3.765 -0.188 5.969
Sn Au Zn
1 5 1
Cartesian
0.000 0.000 0.000
-1.933 -2.060 -1.284
-1.168 -2.244 1.609
-4.530 -0.004 3.076
-2.944 0.075 0.561
-2.754 -2.323 4.124
-1.883 -0.094 2.985



Number 1: E_tot -12.34 eV/cell. Number 2: E_tot -12.65 eV/cell. Number 3: E_tot -19.23 eV/cell. Number 4: E_tot -21.95 eV/cell.